[1]
# Ba6NiAg

A relaxed structure of Ba6NiAg (PBE, Alexandria via LeMat-Bulk).

a b c (Å): 7.943 7.943 15.271
angles (deg): 90.00 90.00 120.00
Element x y z (fractional)
Ba 0.003 0.321 0.120
Ba 0.003 0.682 0.380
Ba 0.318 0.321 0.380
Ba 0.318 0.997 0.120
Ba 0.321 0.003 0.620
Ba 0.321 0.318 0.880
Ba 0.679 0.682 0.120
Ba 0.679 0.997 0.380
Ba 0.682 0.003 0.880
Ba 0.682 0.679 0.620
Ba 0.997 0.318 0.620
Ba 0.997 0.679 0.880
Ni 0.000 0.000 0.000
Ni 0.000 0.000 0.500
Ag 0.333 0.667 0.750
Ag 0.667 0.333 0.250

## Properties
**Crystal system**: trigonal
**E_form**: -54.2 meV per atom
**Symmetry**: P-31c (163)
**Total DFT energy (no corrections)**: -41.20 eV/cell
**D(E_F)**: 0.88 states/eV/atom



[2]
# LiAgBr2

A relaxed structure of LiAgBr2 (PBE, Alexandria via LeMat-Bulk).

a b c (Å): 4.329 4.329 21.119
angles (deg): 90.00 90.00 120.00
Element x y z (fractional)
Li 0.000 0.000 0.000
Li 0.333 0.667 0.667
Li 0.667 0.333 0.333
Ag 0.000 0.000 0.495
Ag 0.333 0.667 0.161
Ag 0.667 0.333 0.828
Br 0.000 0.000 0.367
Br 0.000 0.000 0.879
Br 0.333 0.667 0.033
Br 0.333 0.667 0.545
Br 0.667 0.333 0.212
Br 0.667 0.333 0.700

## Properties
**Relative energy among the computed polymorphs**: 0.005 eV/atom
**Crystal system**: trigonal
**Raw formation energy**: -3.75 eV/f.u.
**Symmetry**: R3m (160)
**Total DFT energy (no corrections)**: -35.58 eV/cell
**D(E_F)**: 0.00 states/eV/atom



[3]
# La3Ho3Er2

A relaxed structure of La3Ho3Er2 (PBE, Alexandria via LeMat-Bulk).

a b c (Å): 5.030 5.139 20.546
angles (deg): 90.00 90.00 90.00
Element x y z (fractional)
La 0.000 0.000 0.000
La 0.000 0.500 0.125
La 0.000 0.500 0.875
La 0.500 0.000 0.375
La 0.500 0.000 0.625
La 0.500 0.500 0.500
Ho 0.000 0.000 0.500
Ho 0.000 0.500 0.372
Ho 0.000 0.500 0.628
Ho 0.500 0.000 0.128
Ho 0.500 0.000 0.872
Ho 0.500 0.500 0.000
Er 0.000 0.000 0.249
Er 0.000 0.000 0.751
Er 0.500 0.500 0.251
Er 0.500 0.500 0.749

## Properties
**Relative energy among the computed polymorphs**: 0.000 eV/atom
**Crystal system**: orthorhombic
**E_form**: 35.5 meV per atom
**Symmetry**: Immm (71)
**Total DFT energy (no corrections)**: -74.71 eV/cell
**D(E_F)**: 1.71 states/eV/atom